Model w:
This record from Alexandria describes an optimized crystal structure of Ti3OsBr. The functional is GGA-PBE.

```
Ti3OsBr
1.0
-4.4586 -0.0725 0.7841
0.0963 -4.5247 0.1294
0.7815 0.1441 4.4573
Br Ti Os
1 3 1
Cartesian
0.0000 0.0000 0.0000
0.3908 0.0721 2.2287
0.0482 -2.2624 0.0647
-2.2293 -0.0362 0.3920
-1.7904 -2.2265 2.6854
```

Results
- Magnetic moment: 0.00 μB/f.u.

=====

Model x:
This record from Alexandria describes an optimized crystal structure of Ti3OsBr. The functional is GGA-PBE.

```
Ti3OsBr
1.0
4.8267 0.0000 0.0000
0.0000 4.8267 0.0000
0.0000 0.0000 4.8267
Os Ti Br
1 3 1
Cartesian
0.0000 0.0000 0.0000
0.0000 2.4134 0.0000
2.4134 0.0000 0.0000
0.0000 0.0000 2.4134
2.4134 2.4134 2.4134
```

Results
- Magnetic moment: 0.84 μB/f.u.

=====

In terms of stability, model x leads; the second structure lies 368 meV/atom higher.

=====

Model w:
This record from Alexandria describes an optimized crystal structure of Ti2OsBr2. The functional is GGA-PBE.

```
Ti2OsBr2
1.0
6.7888 0.0000 0.0000
0.0000 6.7888 0.0000
0.0000 0.0000 4.6573
Br Ti Os
4 4 2
Cartesian
2.2161 1.1783 2.3287
1.1783 4.5727 2.3287
4.5727 5.6105 2.3287
5.6105 2.2161 2.3287
5.4528 4.7303 0.0000
2.0584 5.4528 0.0000
4.7303 1.3359 0.0000
1.3359 2.0584 0.0000
0.0000 0.0000 0.0000
3.3944 3.3944 0.0000
```

Results
- Magnetic moment: 0.00 μB/f.u.

=====

Model x:
This record from Alexandria describes an optimized crystal structure of Ti2OsBr2. The functional is GGA-PBE.

```
Ti2OsBr2
1.0
-0.6397 -3.1223 -2.4315
-2.1688 -1.7836 2.8609
-6.4491 0.2478 -1.9260
Br Ti Os
2 2 1
Cartesian
-5.0111 -1.9944 0.5748
-4.2465 -2.6637 -2.0714
-2.4591 -1.8882 -0.2329
-6.7985 -2.7699 -1.2636
0.0000 0.0000 0.0000
```

Results
- Magnetic moment: 1.98 μB/f.u.

=====

In terms of stability, model w leads; the second structure lies 253 meV/atom higher.

=====

Model w:
This record from Alexandria describes an optimized crystal structure of TlOs3Br. The functional is GGA-PBE.

```
TlOs3Br
1.0
5.1021 0.0000 0.0000
0.0000 5.1021 0.0000
0.0000 0.0000 5.1021
Os Tl Br
3 1 1
Cartesian
0.0000 0.0000 2.5510
2.5510 0.0000 0.0000
0.0000 2.5510 0.0000
0.0000 0.0000 0.0000
2.5510 2.5510 2.5510
```

Results
- Magnetic moment: 7.35 μB/f.u.

=====

Model x:
This record from Alexandria describes an optimized crystal structure of TlOs3Br. The functional is GGA-PBE.

```
TlOs3Br
1.0
-1.2830 -2.7163 3.5149
0.7250 -3.7375 -2.6237
4.3826 -0.1769 1.4630
Os Tl Br
3 1 1
Cartesian
-0.6415 -1.3581 1.7574
0.3625 -1.8688 -1.3119
2.1913 -0.0884 0.7315
1.9123 -3.3153 1.1771
0.0000 0.0000 0.0000
```

Results
- Magnetic moment: 0.00 μB/f.u.

=====

In terms of stability, model x leads; the second structure lies 850 meV/atom higher.

=====

Model w:
This record from Alexandria describes an optimized crystal structure of Tl3OsBr. The functional is GGA-PBE.

```
Tl3OsBr
1.0
-5.1774 -0.4651 1.1932
1.2009 -0.0369 5.1963
-0.4449 5.3130 0.1405
Tl Os Br
3 1 1
Cartesian
-0.2224 2.6565 0.0703
0.6004 -0.0184 2.5982
-2.5887 -0.2325 0.5966
0.0000 0.0000 0.0000
-2.2107 2.4055 3.2650
```

Results
- Magnetic moment: 0.00 μB/f.u.

=====

Model x:
This record from Alexandria describes an optimized crystal structure of Tl3OsBr. The functional is GGA-PBE.

```
Tl3OsBr
1.0
5.9490 0.0000 0.0000
0.0000 5.9490 0.0000
0.0000 0.0000 5.9490
Tl Os Br
3 1 1
Cartesian
0.0000 0.0000 2.9745
2.9745 0.0000 0.0000
0.0000 2.9745 0.0000
2.9745 2.9745 2.9745
0.0000 0.0000 0.0000
```

Results
- Magnetic moment: 2.48 μB/f.u.

=====

In terms of stability, model w leads; the second structure lies 1187 meV/atom higher.

=====

Model w:
This record from Alexandria describes an optimized crystal structure of VOs2Br. The functional is GGA-PBE.

```
VOs2Br
1.0
0.0000 3.1259 3.1259
3.1259 0.0000 3.1259
3.1259 3.1259 0.0000
Os Br V
2 1 1
Cartesian
1.5629 1.5629 1.5629
4.6888 4.6888 4.6888
3.1259 3.1259 3.1259
0.0000 0.0000 0.0000
```

Results
- Magnetic moment: 0.61 μB/f.u.

=====

Model x:
This record from Alexandria describes an optimized crystal structure of VOs2Br. The functional is GGA-PBE.

```
VOs2Br
1.0
-0.9404 -5.0308 -1.9109
1.4760 -2.1065 4.8196
-5.1044 -3.2434 3.2418
Os Br V
4 2 2
Cartesian
-3.3922 -8.6312 4.8702
-0.4919 -2.8672 3.5417
-1.6586 -4.1075 0.2608
-3.5949 -5.1555 3.6284
-2.8885 -5.9214 1.3926
0.0000 0.0000 0.0000
-1.6803 -4.4593 4.7579
0.2678 -3.5687 1.4544
```

Results
- Magnetic moment: 0.00 μB/f.u.

=====

In terms of stability, model w leads; the second structure lies 233 meV/atom higher.

=====

Model w:
This record from Alexandria describes an optimized crystal structure of VOs3Br. The functional is GGA-PBE.

```
VOs3Br
1.0
-0.3300 4.5229 -0.7387
-2.5099 -0.7981 -3.7649
-3.8344 0.1331 2.5280
Os V Br
3 1 1
Cartesian
-1.2549 -0.3990 -1.8824
-0.1650 2.2614 -0.3694
-1.9172 0.0666 1.2640
0.0000 0.0000 0.0000
-3.3371 1.9290 -0.9878
```

Results
- Magnetic moment: 2.84 μB/f.u.

=====

Model x:
This record from Alexandria describes an optimized crystal structure of VOs3Br. The functional is GGA-PBE.

```
VOs3Br
1.0
-1.4212 3.9515 -1.6937
-2.3927 -2.2090 -3.1460
-3.5718 -0.0924 2.7814
Br V Os
1 1 3
Cartesian
0.0000 0.0000 0.0000
-3.6928 0.8250 -1.0291
-0.7106 1.9757 -0.8468
-1.1964 -1.1045 -1.5730
-1.7859 -0.0462 1.3907
```

Results
- Magnetic moment: 2.04 μB/f.u.

=====

In terms of stability, model w leads; the second structure lies 200 meV/atom higher.

=====

Model w:
This record from Alexandria describes an optimized crystal structure of Os2WBr. The functional is GGA-PBE.

```
Os2WBr
1.0
-0.8136 1.8381 1.9665
0.8525 -2.5650 0.7759
9.2852 3.3119 0.7460
Os Br W
2 1 1
Cartesian
0.2885 0.1029 0.0232
2.3898 0.4820 1.5617
6.8015 2.0556 1.9161
4.4870 1.6005 0.3605
```

Results
- Magnetic moment: 0.37 μB/f.u.

=====

Model x:
This record from Alexandria describes an optimized crystal structure of Os2WBr. The functional is GGA-PBE.

```
Os2WBr
1.0
-1.2096 -4.0595 1.4242
-0.1864 -3.4139 -2.8778
3.0251 -3.2816 0.2270
W Br Os
1 1 2
Cartesian
1.2218 -8.0662 -0.9200
0.8145 -5.3775 -0.6133
0.0000 0.0000 0.0000
0.4073 -2.6887 -0.3067
```

Results
- Magnetic moment: 0.00 μB/f.u.

=====

In terms of stability, model w leads; the second structure lies 174 meV/atom higher.

=====

Model w:
This record from Alexandria describes an optimized crystal structure of Os2WBr. The functional is GGA-PBE.

```
Os2WBr
1.0
5.9260 0.0000 0.0000
0.0000 5.9260 0.0000
2.9630 2.9630 5.1379
Os W Br
4 2 2
Cartesian
4.4730 1.4815 1.2845
4.4445 4.4160 3.8535
7.4075 7.4361 3.8535
1.4530 4.4445 1.2845
0.0000 0.0000 0.0000
5.9260 2.9630 2.5690
2.9630 2.9630 0.0000
2.9630 5.9260 2.5690
```

Results
- Magnetic moment: 0.00 μB/f.u.

=====

Model x:
This record from Alexandria describes an optimized crystal structure of Os2WBr. The functional is GGA-PBE.

```
Os2WBr
1.0
4.7561 -0.0028 0.0000
-1.0456 4.6397 0.0000
0.0000 0.0000 2.8841
Br Os W
1 2 1
Cartesian
-0.5228 2.3198 1.4421
0.0000 0.0000 0.0000
1.8552 2.3185 0.0000
2.3780 -0.0014 1.4421
```

Results
- Magnetic moment: 0.00 μB/f.u.

=====

Model y:
This record from Alexandria describes an optimized crystal structure of Os2WBr. The functional is GGA-PBE.

```
Os2WBr
1.0
5.3787 -0.0017 0.0045
2.6252 4.6946 -0.0045
-3.4279 -3.3257 2.4740
Os Br W
2 1 1
Cartesian
0.0850 0.0498 0.0000
3.0012 -0.4759 1.2392
1.6187 1.8688 1.2347
3.8732 2.2709 0.0000
```

Results
- Magnetic moment: 0.00 μB/f.u.

=====

In terms of stability, model y leads; the second structure lies 125 meV/atom higher.

=====

Model w:
This record from Alexandria describes an optimized crystal structure of Os2WBr. The functional is GGA-PBE.

```
Os2WBr
1.0
-3.0846 1.2814 -4.1589
2.0026 -0.5226 -4.9162
-1.3824 -2.3089 4.6055
Os W Br
2 1 1
Cartesian
-0.0144 0.0101 -0.1206
-0.5266 0.3693 -4.4169
-2.5039 -0.3241 -2.0455
0.0396 -1.2261 -2.4241
```

Results
- Magnetic moment: 0.00 μB/f.u.

=====

Model x:
This record from Alexandria describes an optimized crystal structure of Os2WBr. The functional is GGA-PBE.

```
Os2WBr
1.0
-5.4325 -1.3641 7.1516
-7.3144 -1.9102 5.0368
-5.5560 -3.9934 5.9752
Br Os W
1 2 1
Cartesian
-13.8330 -5.4928 13.7277
-18.1868 -7.2216 18.0483
-4.5798 -1.8186 4.5450
-9.1559 -3.6356 9.0862
```

Results
- Magnetic moment: 0.00 μB/f.u.

=====

Model y:
This record from Alexandria describes an optimized crystal structure of Os2WBr. The functional is GGA-PBE.

```
Os2WBr
1.0
9.4770 0.0859 0.0504
9.0177 2.9156 0.0504
9.0177 1.4635 2.5222
Os Br W
2 1 1
Cartesian
13.9752 2.2680 1.3324
27.2935 4.4295 2.6023
20.6343 3.3487 1.9673
6.8781 1.1162 0.6558
```

Results
- Magnetic moment: 0.00 μB/f.u.

=====

Model z:
This record from Alexandria describes an optimized crystal structure of Os2WBr. The functional is GGA-PBE.

```
Os2WBr
1.0
-1.0903 4.7536 1.7640
-3.4600 3.8516 0.3029
-1.8228 -1.4863 3.8737
W Br Os
1 1 2
Cartesian
-3.0442 3.2246 2.9462
-1.5552 1.7124 1.4650
-4.9018 5.3950 4.6189
-1.8812 -1.1399 3.7546
```

Results
- Magnetic moment: 0.00 μB/f.u.

=====

In terms of stability, model y leads; the second structure lies 20 meV/atom higher.

=====

Model w:
This record from Alexandria describes an optimized crystal structure of Os2WBr. The functional is GGA-PBE.

```
Os2WBr
1.0
0.2859 -4.4319 -0.7687
1.6636 -2.7348 3.1729
-2.7314 -2.8462 2.1802
Os W Br
2 1 1
Cartesian
-0.1955 -2.5032 1.1461
-0.5864 -7.5097 3.4383
-0.3909 -5.0064 2.2922
0.0000 0.0000 0.0000
```

Results
- Magnetic moment: 0.00 μB/f.u.

=====

Model x:
This record from Alexandria describes an optimized crystal structure of Os2WBr. The functional is GGA-PBE.

```
Os2WBr
1.0
-0.7770 -2.3475 -1.4935
2.5238 1.5150 -3.6942
3.6898 -2.2405 1.6020
W Os Br
1 2 1
Cartesian
1.4564 -2.2940 0.0542
0.0000 0.0000 0.0000
0.8734 -0.4163 -2.5939
3.1068 -0.3628 -1.0461
```

Results
- Magnetic moment: 0.00 μB/f.u.

=====

In terms of stability, model x leads; the second structure lies 226 meV/atom higher.

=====

Model w:
This record from Alexandria describes an optimized crystal structure of Os2WBr. The functional is GGA-PBE.

```
Os2WBr
1.0
-0.3146 2.4806 1.5791
0.0652 -1.5818 2.4979
7.4506 0.7616 0.2879
Os W Br
2 1 1
Cartesian
3.5580 0.3637 0.1375
0.1674 0.0171 0.0065
1.7380 0.6398 2.1105
5.4633 1.0206 2.2544
```

Results
- Magnetic moment: 0.00 μB/f.u.

=====

Model x:
This record from Alexandria describes an optimized crystal structure of Os2WBr. The functional is GGA-PBE.

```
Os2WBr
1.0
4.7257 -0.0183 0.0000
1.0782 4.6011 0.0000
-2.9020 -2.2914 2.9429
Br Os W
1 2 1
Cartesian
2.3629 -0.0091 1.4715
0.0000 0.0000 0.0000
2.9020 2.2914 0.0000
0.5391 2.3006 1.4715
```

Results
- Magnetic moment: 0.00 μB/f.u.

=====

Model y:
This record from Alexandria describes an optimized crystal structure of Os2WBr. The functional is GGA-PBE.

```
Os2WBr
1.0
-0.7113 1.0597 -2.4653
-2.1329 -0.4031 1.7305
1.2680 9.7944 3.8442
W Os Br
1 2 1
Cartesian
-1.1051 2.7769 0.5937
0.0661 0.5108 0.2005
0.5679 4.3865 1.7216
-0.4711 7.6741 2.5158
```

Results
- Magnetic moment: 0.00 μB/f.u.

=====

In terms of stability, model w leads; the second structure lies 102 meV/atom higher.

=====

Model w:
This record from Alexandria describes an optimized crystal structure of OsW2Br. The functional is GGA-PBE.

```
OsW2Br
1.0
2.9551 0.0000 0.0000
0.0000 2.9551 0.0000
0.0000 0.0000 7.7134
W Br Os
2 1 1
Cartesian
0.0000 0.0000 7.6176
1.4776 1.4776 1.9198
0.0000 0.0000 3.7231
1.4776 1.4776 6.0230
```

Results
- Magnetic moment: 0.00 μB/f.u.

=====

Model x:
This record from Alexandria describes an optimized crystal structure of OsW2Br. The functional is GGA-PBE.

```
OsW2Br
1.0
-3.3654 -2.7206 -2.9559
-3.4373 -3.9471 -0.2641
-3.5750 2.5975 1.0882
W Br Os
2 1 1
Cartesian
-0.1768 0.0375 0.0123
-7.5955 -2.7805 -1.4698
-5.1424 -2.0180 -1.0569
-2.6518 -1.3443 -0.6834
```

Results
- Magnetic moment: 0.00 μB/f.u.

=====

Model y:
This record from Alexandria describes an optimized crystal structure of OsW2Br. The functional is GGA-PBE.

```
OsW2Br
1.0
5.0993 -0.0093 -0.0031
4.2115 2.8751 -0.0031
0.2439 0.0751 4.5577
W Os Br
2 1 1
Cartesian
9.0852 2.7963 0.1290
5.0031 1.5399 2.1406
2.3887 0.7352 1.1379
7.1661 2.2057 3.4137
```

Results
- Magnetic moment: 0.00 μB/f.u.

=====

In terms of stability, model w leads; the second structure lies 179 meV/atom higher.